# 1
K3NiHg2F9 PBE+U relaxed; space group = P-3m1 (164); DFT total energy = -55.19 eV per cell
1.0
-1.5223 -6.0424 -0.1004
0.9890 2.8743 5.4405
-7.4054 1.8597 0.3638
K Hg F Ni
3 2 9 1
Cartesian
-3.1062 -2.4622 1.8655 K
0.0000 0.0000 0.0000 K
-4.8325 1.1537 3.8384 K
-1.2294 0.2489 3.6614 Hg
-6.7093 -1.5574 2.0425 Hg
-1.9737 2.1530 4.7167 F
-2.7951 -1.1073 4.6625 F
-5.1436 -0.2011 1.0413 F
-0.7612 -3.0212 -0.0502 F
-0.2666 -1.5841 2.6701 F
-5.4313 -1.9106 3.9227 F
-2.5074 0.6021 1.7811 F
-5.9650 -3.4615 0.9872 F
0.4945 1.4371 2.7202 F
-3.7027 0.9298 0.1819 Ni

# 2
K2NiHgF6 PBE+U relaxed; space group = Fm-3m (225); DFT total energy = -38.45 eV per cell
1.0
3.0167 -0.0407 5.3145
2.2394 5.2079 2.2823
-2.5323 2.4963 4.9701
F Ni K Hg
6 1 2 1
Cartesian
-0.7136 3.1200 5.5835 F
3.4375 4.5435 6.9835 F
0.8942 3.0983 8.4160 F
2.2439 1.7678 5.7670 F
1.8296 4.5652 4.1509 F
0.4800 5.8957 6.7999 F
0.0000 0.0000 0.0000 Ni
0.6810 1.9159 3.1417 K
2.0429 5.7476 9.4252 K
1.3619 3.8317 6.2835 Hg

# 3
KNiHg2F8 PBE+U relaxed; space group = P-1 (2); DFT total energy = -40.22 eV per cell
1.0
4.9669 -0.0344 0.1072
0.0052 5.3298 0.3413
0.2046 0.5036 7.3693
F Hg K Ni
8 2 1 1
Cartesian
1.0038 4.7777 6.3847 F
1.6003 1.2207 0.1445 F
0.6108 4.1739 1.7422 F
4.5659 1.6251 6.0756 F
2.2551 1.6466 3.6083 F
4.1729 1.0213 1.4331 F
2.9216 4.1524 4.2096 F
3.5764 4.5783 7.6734 F
2.4117 2.8322 5.7932 Hg
2.7650 2.9668 2.0246 Hg
0.1023 0.2518 3.6846 K
0.0000 0.0000 0.0000 Ni

# 4
KNi2HgF PBE+U relaxed; space group = P4/mmm (123); DFT total energy = -8.29 eV per cell
1.0
-4.6738 -1.2965 -0.8753
1.5128 -5.2929 -0.2378
-0.7849 -0.4420 4.8456
Ni F K Hg
2 1 1 1
Cartesian
-2.3369 -0.6483 -0.4377 Ni
-0.3924 -0.2210 2.4228 Ni
0.7564 -2.6465 -0.1189 F
-1.9729 -3.5158 1.8663 K
0.0000 0.0000 0.0000 Hg

# 5
KNi2HgF8 PBE+U relaxed; space group = P-1 (2); DFT total energy = -44.07 eV per cell
1.0
5.2086 0.0446 0.0229
0.1161 5.1993 0.0434
0.0762 0.0542 6.5071
Ni F Hg K
2 8 1 1
Cartesian
2.7183 2.6608 4.9229 Ni
2.6826 2.6373 1.6505 Ni
4.1624 1.3706 5.0825 F
4.0953 1.3155 1.4752 F
1.3056 3.9826 5.0982 F
1.8905 1.7406 3.2619 F
3.5493 3.5941 0.0667 F
1.8516 1.7040 6.5067 F
1.2385 3.9275 1.4909 F
3.5104 3.5575 3.3114 F
0.0000 0.0000 0.0000 Hg
0.0381 0.0271 3.2536 K